Here is AlPCl2 after structural relaxation from Alexandria. Energies are from PBE.

Calculated values
The raw formation energy comes out at -249 kJ/mol of formula units. As for the size of the total moment: 0.000 μB per formula unit. The value obtained for the energy relative to the lowest polymorph listed for this composition is 0.000 eV/f.u. The space-group type is P4mm, No. 99.

Unit cell a=3.542 b=3.542 c=8.069 alpha=90.00 beta=90.00 gamma=90.00
Element x y z (fractional)
Cl 0.000 0.000 0.922
Cl 0.500 0.500 0.325
P 0.000 0.000 0.666
Al 0.500 0.500 0.587